# SbTe2Mo PBE-GGA relaxed
data_SbTe2Mo
_cell_length_a 3.5058
_cell_length_b 3.5058
_cell_length_c 28.6805
_cell_angle_alpha 90.00
_cell_angle_beta 90.00
_cell_angle_gamma 120.00
_symmetry_space_group_name_H-M 'R 3 m'
_symmetry_Int_Tables_number 160
_symmetry_space_group_name_Hall 'R 3 -2"'
loop_
_atom_site_label
_atom_site_type_symbol
_atom_site_fract_x
_atom_site_fract_y
_atom_site_fract_z
Sb1 Sb 0.0000 0.0000 0.0000
Te1 Te 0.0000 0.0000 0.5361
Te2 Te 0.0000 0.0000 0.7520
Mo1 Mo 0.0000 0.0000 0.2660
# E_form (uncorrected): 0.088 eV/atom
# DOS(E_F): 5.70 states/eV per cell

***

# SbTe2Mo PBE-GGA relaxed
data_SbTe2Mo
_cell_length_a 5.186
_cell_length_b 5.186
_cell_length_c 3.535
_cell_angle_alpha 90.00
_cell_angle_beta 90.00
_cell_angle_gamma 90.00
_symmetry_space_group_name_H-M 'P 4/m m m'
_symmetry_Int_Tables_number 123
_symmetry_space_group_name_Hall '-P 4 2'
loop_
_atom_site_label
_atom_site_type_symbol
_atom_site_fract_x
_atom_site_fract_y
_atom_site_fract_z
Sb1 Sb 0.000 0.000 0.000
Te1 Te 0.000 0.500 0.500
Mo1 Mo 0.500 0.500 0.000
# E_form (uncorrected): 0.601 eV/atom
# DOS(E_F): 2.85 states/eV per cell

***

# SbTe2Mo PBE-GGA relaxed
data_SbTe2Mo
_cell_length_a 3.254
_cell_length_b 3.254
_cell_length_c 9.593
_cell_angle_alpha 90.00
_cell_angle_beta 90.00
_cell_angle_gamma 90.00
_symmetry_space_group_name_H-M 'P 4/m m m'
_symmetry_Int_Tables_number 123
_symmetry_space_group_name_Hall '-P 4 2'
loop_
_atom_site_label
_atom_site_type_symbol
_atom_site_fract_x
_atom_site_fract_y
_atom_site_fract_z
Sb1 Sb 0.000 0.000 0.000
Te1 Te 0.500 0.500 0.324
Mo1 Mo 0.000 0.000 0.500
# E_form (uncorrected): 0.129 eV/atom
# DOS(E_F): 3.22 states/eV per cell